Density functional theory data (GGA-PBE) for a relaxed ZrRhCl2 crystal.

abc: 8.5559 8.5559 8.5559
angles: 21.49 21.49 21.49
Element x y z (fractional)
Rh1 0.0000 0.0000 0.0000
Zr1 0.5000 0.5000 0.5000
Cl1 0.9076 0.9076 0.9076
Cl2 0.0924 0.0924 0.0924

- Formation energy (no corrections): -559 meV per atom
- SG: R-3m
- Total magnetization: 0.00 μB/cell

Density functional theory data (GGA-PBE) for a relaxed ZrRhCl2 crystal.

abc: 3.4436 3.4429 7.6496
angles: 90.00 90.00 90.00
Element x y z (fractional)
Rh1 0.0000 0.0000 0.5371
Zr1 0.5000 0.5000 0.6878
Cl1 0.0000 0.0000 0.9227
Cl2 0.5000 0.5000 0.3524

- Formation energy (no corrections): -779 meV per atom
- SG: P4mm
- Total magnetization: 0.00 μB/cell

Density functional theory data (GGA-PBE) for a relaxed ZrRhCl2 crystal.

abc: 6.5220 6.5220 5.6818
angles: 104.51 104.51 29.10
Element x y z (fractional)
Rh1 0.3531 0.3531 0.6859
Zr1 0.7452 0.7452 0.8608
Cl1 0.0772 0.0772 0.7242
Cl2 0.3244 0.3244 0.2291

- Formation energy (no corrections): -784 meV per atom
- SG: Cm
- Total magnetization: 0.00 μB/cell

Density functional theory data (GGA-PBE) for a relaxed ZrRhCl2 crystal.

abc: 7.5804 7.5804 7.5804
angles: 154.79 147.02 41.96
Element x y z (fractional)
Rh1 0.7500 0.2500 0.5000
Zr1 0.2500 0.7500 0.5000
Cl1 0.1069 0.1069 0.0000
Cl2 0.3931 0.3931 0.0000

- Formation energy (no corrections): -768 meV per atom
- SG: Immm
- Total magnetization: 0.00 μB/cell

Density functional theory data (GGA-PBE) for a relaxed ZrRhCl2 crystal.

abc: 4.3208 4.1997 4.2405
angles: 88.96 90.00 90.00
Element x y z (fractional)
Rh1 0.5000 0.2500 0.2500
Zr1 0.5000 0.7500 0.7500
Cl1 0.0000 0.9960 0.9964
Cl2 0.0000 0.5040 0.5036

- Formation energy (no corrections): -387 meV per atom
- SG: P2/m
- Total magnetization: 0.00 μB/cell

Density functional theory data (GGA-PBE) for a relaxed Zr4RhCl crystal.

abc: 5.6864 5.6864 5.6864
angles: 60.00 60.00 60.00
Element x y z (fractional)
Zr1 0.8805 0.3732 0.3732
Zr2 0.3732 0.3732 0.8805
Zr3 0.3732 0.8805 0.3732
Zr4 0.3732 0.3732 0.3732
Rh1 0.0000 0.0000 0.0000
Cl1 0.7500 0.7500 0.7500

- Formation energy (no corrections): 507 meV per atom
- SG: F-43m
- Total magnetization: 0.00 μB/cell